# Ba3Sr4

A geometry-optimized Ba3Sr4 structure (PBEsol, Alexandria).

a = 7.594 Å, b = 7.734 Å, c = 7.734 Å
α = 120.00°, β = 90.00°, γ = 90.00°
Atoms (fractional coordinates):
1 Sr 0.745 0.000 0.000
2 Sr 0.255 0.000 0.000
3 Sr 0.500 0.333 0.667
4 Sr 0.500 0.667 0.333
5 Ba 0.000 0.000 0.500
6 Ba 0.000 0.500 0.000
7 Ba 0.000 0.500 0.500

The formation energy comes out at 0.6 eV per formula unit. The calculation puts the density at 3.218 g/cm3. The total energy comes out at -1.893 eV/atom. The value obtained for the energy above the most stable polymorph in this dataset is 74 meV per atom.